(1)
# LiOsPb3, optimized geometry, DFT PBE
# SG: Pm-3m (221)
# Relative energy among the computed polymorphs: 0 meV per atom
# Fermi-level density of states: 1.448 states/eV per atom
# Calculated formation energy: 0.517 eV/atom
data_LiOsPb3
_chemical_formula_sum 'Li1 Os1 Pb3'
_symmetry_space_group_name_H-M 'P 1'
_symmetry_Int_Tables_number 1
_symmetry_space_group_name_Hall 'P 1'
_cell_length_a 5.3430
_cell_length_b 5.3430
_cell_length_c 5.3430
_cell_angle_alpha 90.00
_cell_angle_beta 90.00
_cell_angle_gamma 90.00
loop_
_atom_site_label
_atom_site_type_symbol
_atom_site_fract_x
_atom_site_fract_y
_atom_site_fract_z
Li1 Li 0.0000 0.0000 0.0000
Os1 Os 0.5000 0.5000 0.5000
Pb1 Pb 0.0000 0.5000 0.5000
Pb2 Pb 0.5000 0.0000 0.5000
Pb3 Pb 0.5000 0.5000 0.0000


(2)
# TlHPdPb2, optimized geometry, DFT PBE
# Total DFT energy (no corrections): -3.642 eV per atom
# SG: P4/mmm (123)
# Fermi-level density of states: 0.375 states/eV per atom
data_TlHPdPb2
_chemical_formula_sum 'Tl1 H1 Pd1 Pb2'
_symmetry_space_group_name_H-M 'P 1'
_symmetry_Int_Tables_number 1
_symmetry_space_group_name_Hall 'P 1'
_cell_length_a 5.7283
_cell_length_b 5.7283
_cell_length_c 3.4545
_cell_angle_alpha 90.00
_cell_angle_beta 90.00
_cell_angle_gamma 90.00
loop_
_atom_site_label
_atom_site_type_symbol
_atom_site_fract_x
_atom_site_fract_y
_atom_site_fract_z
Tl1 Tl 0.0000 0.0000 0.0000
H1 H 0.5000 0.5000 0.0000
Pd1 Pd 0.5000 0.5000 0.5000
Pb1 Pb 0.0000 0.5000 0.5000
Pb2 Pb 0.5000 0.0000 0.5000


| no. | ρ (g cm⁻³) |
| --- | --- |
| 1 | 8.9 |
| 2 | 10.6 |